No. 1
{"formula": "HOsCN", "functional": "GGA-PBE", "state": "relaxed", "energy_ev_per_atom": -7.34, "lattice_angstrom": [[-0.101, 2.868, 0.679], [-1.424, 0.662, 3.479], [3.465, -0.255, 1.548]], "species": ["H", "Os", "C", "N"], "fractional_positions": [[0.752, 0.952, 0.222], [0.036, 0.378, 0.817], [0.742, 0.969, 0.936], [0.031, 0.387, 0.356]]}

---

No. 2
{"formula": "CdPd", "functional": "GGA-PBE", "state": "relaxed", "ef_mev_per_atom": -73, "energy_ev_per_atom": -3.13, "lattice_angstrom": [[-0.699, -4.441, -3.072], [3.229, -2.827, 3.351], [-4.328, -1.391, 2.996]], "species": ["Cd", "Cd", "Cd", "Cd", "Pd", "Pd", "Pd", "Pd"], "fractional_positions": [[0.500, 0.500, 0.500], [0.500, 0.000, 0.000], [0.000, 0.500, 0.000], [0.000, 0.000, 0.500], [0.000, 0.000, 0.000], [0.000, 0.500, 0.500], [0.500, 0.000, 0.500], [0.500, 0.500, 0.000]]}